No. 1
A relaxed structure of LiPrYBe, computed with GGA-PBE.

Cell: 7.2168 7.2168 7.2168 Å, 90.00 90.00 90.00°
Closest atoms and distances in Å follow each position.
Space group F-43m (No. 216)
One atom of each set of equivalent atoms:
Li: 0.0000 0.0000 0.0000 [4 per cell]  4 Pr 3.12, 4 Y 3.12
Pr: 0.2500 0.2500 0.7500 [4 per cell]  4 Li 3.12, 4 Be 3.12
Y: 0.2500 0.2500 0.2500 [4 per cell]  4 Li 3.12, 4 Be 3.12
Be: 0.0000 0.0000 0.5000 [4 per cell]  4 Pr 3.12, 4 Y 3.12

Formation enthalpy at 0 K, eV/f.u.: 0.61
Raw total energy, Ha/atom: -0.150

---

No. 2
A relaxed structure of LiPrBeZn, computed with GGA-PBE.

Cell: 6.5926 6.5926 6.5926 Å, 90.00 90.00 90.00°
Closest atoms and distances in Å follow each position.
Space group F-43m (No. 216)
One atom of each set of equivalent atoms:
Li: 0.0000 0.0000 0.0000 [4 per cell]  4 Pr 2.85, 4 Zn 2.85
Pr: 0.2500 0.2500 0.7500 [4 per cell]  4 Be 2.85, 4 Li 2.85
Be: 0.0000 0.0000 0.5000 [4 per cell]  4 Zn 2.85, 4 Pr 2.85
Zn: 0.2500 0.2500 0.2500 [4 per cell]  4 Li 2.85, 4 Be 2.85

Formation enthalpy at 0 K, eV/f.u.: -0.02
Raw total energy, Ha/atom: -0.108

---

No. 3
A relaxed structure of LiBePt2, computed with GGA-PBE.

Cell: 2.8041 4.0305 9.0913 Å, 90.00 90.00 90.00°
Closest atoms and distances in Å follow each position.
Space group Imm2 (No. 44)
One atom of each set of equivalent atoms:
Li: 0.0000 0.0000 0.0000 [2 per cell]  4 Pt 2.48, 2 Be 2.71
Be: 0.0000 0.5000 0.7549 [2 per cell]  6 Pt 2.33-2.47
Pt: 0.0000 0.0000 0.4597 [2 per cell]  2 Be 2.33, 4 Li 2.48
Pt: 0.0000 0.5000 0.2255 [2 per cell]  4 Be 2.47

Formation enthalpy at 0 K, eV/f.u.: -2.16
Raw total energy, Ha/atom: -0.183

---

No. 4
A relaxed structure of Li3BePt, computed with GGA-PBE.

Cell: 4.2047 4.2047 4.2047 Å, 90.00 90.00 90.00°
Closest atoms and distances in Å follow each position.
Space group Pm-3m (No. 221)
One atom of each set of equivalent atoms:
Li: 0.0000 0.0000 0.5000 [3 per cell]  2 Be 2.10
Be: 0.0000 0.0000 0.0000 [1 per cell]  6 Li 2.10
Pt: 0.5000 0.5000 0.5000 [1 per cell]  12 Li 2.97

Formation enthalpy at 0 K, eV/f.u.: 2.51
E above lowest polymorph, kcal/mol of atoms: 2.60
Raw total energy, Ha/atom: -0.096

---

No. 5
A relaxed structure of LiBePt2, computed with GGA-PBE.

Cell: 3.5086 3.5086 8.3499 Å, 90.00 90.00 90.00°
Closest atoms and distances in Å follow each position.
Space group I-4m2 (No. 119)
One atom of each set of equivalent atoms:
Li: 0.0000 0.0000 0.0000 [2 per cell]  8 Pt 2.48-2.73, 4 Be 2.73
Be: 0.0000 0.5000 0.2500 [2 per cell]  8 Pt 2.48-2.73, 4 Li 2.73
Pt: 0.0000 0.0000 0.5000 [2 per cell]  4 Li 2.48, 4 Be 2.73, 4 Pt 2.73
Pt: 0.0000 0.5000 0.7500 [2 per cell]  4 Be 2.48, 4 Li 2.73, 4 Pt 2.73

Formation enthalpy at 0 K, eV/f.u.: -1.70
Raw total energy, Ha/atom: -0.178

---

No. 6
A relaxed structure of LiBePt, computed with GGA-PBE.

Cell: 3.8904 3.8904 2.7105 Å, 90.00 90.00 120.00°
Closest atoms and distances in Å follow each position.
Space group P3m1 (No. 156)
One atom of each set of equivalent atoms:
Li: 0.0000 0.0000 0.0000 [1 per cell]  3 Be 2.38, 3 Pt 2.54
Be: 0.6667 0.3333 0.7112 [1 per cell]  3 Pt 2.36, 3 Li 2.38
Pt: 0.3333 0.6667 0.4410 [1 per cell]  3 Be 2.36, 3 Li 2.54

Formation enthalpy at 0 K, eV/f.u.: -1.45
E above lowest polymorph, kcal/mol of atoms: 3.40
Raw total energy, Ha/atom: -0.161

---

No. 7
A relaxed structure of LiBePt2, computed with GGA-PBE.

Cell: 2.7651 2.7651 25.8077 Å, 90.00 90.00 120.00°
Closest atoms and distances in Å follow each position.
Space group R3m (No. 160, hexagonal axes)
One atom of each set of equivalent atoms:
Li: 0.0000 0.0000 0.0000 [3 per cell]  3 Pt 2.59, 6 Li 2.77
Be: 0.0000 0.0000 0.7606 [3 per cell]  3 Pt 2.30
Pt: 0.0000 0.0000 0.2543 [3 per cell]  3 Li 2.59, 6 Pt 2.77
Pt: 0.0000 0.0000 0.4912 [3 per cell]  3 Be 2.30

Formation enthalpy at 0 K, eV/f.u.: -1.00
Raw total energy, Ha/atom: -0.172

---

No. 8
A relaxed structure of LiBe2Pt2, computed with GGA-PBE.

Cell: 6.7443 6.7443 2.7283 Å, 90.00 90.00 90.00°
Closest atoms and distances in Å follow each position.
Space group P4/mbm (No. 127)
One atom of each set of equivalent atoms:
Li: 0.0000 0.0000 0.0000 [2 per cell]  4 Pt 2.54, 2 Li 2.73
Be: 0.1377 0.3623 0.5000 [4 per cell]  6 Pt 2.39-2.41, 1 Be 2.63
Pt: 0.1570 0.6570 0.0000 [4 per cell]  6 Be 2.39-2.41, 2 Li 2.54

Formation enthalpy at 0 K, eV/f.u.: -3.37
E above lowest polymorph, kcal/mol of atoms: 1.67
Raw total energy, Ha/atom: -0.182

---

No. 9
A relaxed structure of LiBePt, computed with GGA-PBE.

Cell: 4.8021 6.1113 2.7498 Å, 90.00 90.00 90.00°
Closest atoms and distances in Å follow each position.
Space group Pma2 (No. 28)
One atom of each set of equivalent atoms:
Li: 0.2500 0.1142 0.0000 [2 per cell]  2 Be 2.65, 6 Pt 2.74-2.94, 4 Li 2.75-2.78
Be: 0.0000 0.5000 0.0039 [2 per cell]  4 Pt 2.29, 2 Be 2.40
Pt: 0.2500 0.7255 0.5031 [2 per cell]  4 Be 2.29

Formation enthalpy at 0 K, eV/f.u.: -1.61
E above lowest polymorph, kcal/mol of atoms: 2.19
Raw total energy, Ha/atom: -0.163

---

No. 10
A relaxed structure of LiBePt, computed with GGA-PBE.

Cell: 2.7822 3.8923 6.7205 Å, 90.00 101.67 90.00°
Closest atoms and distances in Å follow each position.
Space group P2_1/m (No. 11)
One atom of each set of equivalent atoms:
Li: 0.2276 0.2500 0.4523 [2 per cell]  4 Li 2.47-2.48, 2 Be 2.60-2.62, 3 Pt 2.63-2.77
Be: 0.4429 0.7500 0.8830 [2 per cell]  6 Pt 2.42-2.43, 2 Be 2.48, 2 Li 2.60-2.62
Pt: 0.0895 0.7500 0.1832 [2 per cell]  6 Be 2.42-2.43, 2 Li 2.63

Formation enthalpy at 0 K, eV/f.u.: -1.90
E above lowest polymorph, kcal/mol of atoms: 0.00
Raw total energy, Ha/atom: -0.166

---

No. 11
A relaxed structure of LiBe3Pt4, computed with GGA-PBE.

Cell: 2.8482 4.0680 8.0943 Å, 90.00 90.00 90.00°
Closest atoms and distances in Å follow each position.
Space group Pmmm (No. 47)
One atom of each set of equivalent atoms:
Li: 0.0000 0.0000 0.0000 [1 per cell]  8 Pt 2.48-2.54
Be: 0.0000 0.0000 0.5000 [1 per cell]  8 Pt 2.41-2.48
Be: 0.0000 0.5000 0.2440 [2 per cell]  8 Pt 2.43-2.51
Pt: 0.5000 0.0000 0.2597 [2 per cell]  6 Be 2.41-2.49, 2 Li 2.54
Pt: 0.5000 0.5000 0.0000 [1 per cell]  4 Be 2.43, 4 Li 2.48
Pt: 0.5000 0.5000 0.5000 [1 per cell]  8 Be 2.48-2.51

Formation enthalpy at 0 K, eV/f.u.: -6.09
Raw total energy, Ha/atom: -0.199

---

No. 12
A relaxed structure of LiBePt, computed with GGA-PBE.

Cell: 12.4771 2.7943 4.1694 Å, 90.00 97.34 90.00°
Closest atoms and distances in Å follow each position.
Space group Cm (No. 8)
One atom of each set of equivalent atoms:
Li: 0.0000 0.0000 0.0000 [2 per cell]  6 Pt 2.50-2.66, 3 Li 2.57-2.79, 4 Be 2.70-2.74
Li: 0.1829 0.0000 0.3619 [2 per cell]  6 Be 2.42-2.61, 1 Li 2.57, 3 Pt 2.60-2.69
Be: 0.1704 0.5000 0.8298 [2 per cell]  3 Pt 2.25-2.30, 2 Li 2.42
Be: 0.3588 0.5000 0.4509 [2 per cell]  6 Pt 2.35-2.57, 2 Li 2.59
Pt: 0.0117 0.5000 0.5073 [2 per cell]  3 Be 2.25-2.35, 2 Li 2.50
Pt: 0.3174 0.0000 0.9337 [2 per cell]  6 Be 2.30-2.57

Formation enthalpy at 0 K, eV/f.u.: -1.60
E above lowest polymorph, kcal/mol of atoms: 2.26
Raw total energy, Ha/atom: -0.163

---

No. 13
A relaxed structure of LiBe5Pt4, computed with GGA-PBE.

Cell: 2.8160 2.8160 14.3193 Å, 90.00 90.00 90.00°
Closest atoms and distances in Å follow each position.
Space group P4/mmm (No. 123)
One atom of each set of equivalent atoms:
Li: 0.0000 0.0000 0.0000 [1 per cell]  8 Be 2.43
Be: 0.5000 0.5000 0.0973 [2 per cell]  4 Pt 2.41, 4 Li 2.43
Be: 0.5000 0.5000 0.2964 [2 per cell]  8 Pt 2.47-2.48
Be: 0.5000 0.5000 0.5000 [1 per cell]  8 Pt 2.47
Pt: 0.0000 0.0000 0.1927 [2 per cell]  8 Be 2.41-2.48
Pt: 0.0000 0.0000 0.3985 [2 per cell]  8 Be 2.47

Formation enthalpy at 0 K, eV/f.u.: -5.98
Raw total energy, Ha/atom: -0.186

---

No. 14
A relaxed structure of LiBePt2, computed with GGA-PBE.

Cell: 2.8858 2.8858 5.9465 Å, 90.00 90.00 90.00°
Closest atoms and distances in Å follow each position.
Space group P4mm (No. 99)
One atom of each set of equivalent atoms:
Li: 0.0000 0.0000 0.0000 [1 per cell]  4 Be 2.42, 5 Pt 2.45-2.51
Be: 0.5000 0.5000 0.7811 [1 per cell]  5 Pt 2.37-2.65, 4 Li 2.42
Pt: 0.0000 0.0000 0.5782 [1 per cell]  4 Be 2.37, 1 Li 2.51
Pt: 0.5000 0.5000 0.2274 [1 per cell]  4 Li 2.45, 1 Be 2.65

Formation enthalpy at 0 K, eV/f.u.: -1.83
Raw total energy, Ha/atom: -0.180